No. 1
{"formula": "Co5B16", "functional": "GGA-PBEsol", "state": "optimized geometry", "dos_ef_per_ev_cell": 8.98, "magnetic_moment_mub_per_atom": 0.000, "rho_kg_m3": 5222, "delta_e_f_mev_per_atom": -224, "cell": [[-0.519, -1.503, 2.439], [1.683, -4.525, -2.430], [17.638, 3.415, 5.855]], "species": ["B", "B", "B", "B", "B", "B", "B", "B", "B", "B", "B", "B", "B", "B", "B", "B", "B", "B", "B", "B", "B", "B", "B", "B", "B", "B", "B", "B", "B", "B", "B", "B", "Co", "Co", "Co", "Co", "Co", "Co", "Co", "Co", "Co", "Co"], "frac_coords": [[0.000, 0.796, 0.250], [0.000, 0.204, 0.750], [0.000, 0.218, 0.338], [0.000, 0.782, 0.662], [0.000, 0.218, 0.162], [0.000, 0.782, 0.838], [0.500, 0.508, 0.428], [0.500, 0.492, 0.572], [0.500, 0.508, 0.072], [0.500, 0.492, 0.928], [0.500, 0.619, 0.250], [0.500, 0.381, 0.750], [0.000, 0.307, 0.432], [0.000, 0.693, 0.568], [0.000, 0.307, 0.068], [0.000, 0.693, 0.932], [0.000, 0.987, 0.395], [0.000, 0.013, 0.605], [0.000, 0.987, 0.105], [0.000, 0.013, 0.895], [0.500, 0.340, 0.297], [0.500, 0.660, 0.703], [0.500, 0.340, 0.203], [0.500, 0.660, 0.797], [0.500, 0.293, 0.491], [0.500, 0.707, 0.509], [0.500, 0.293, 0.009], [0.500, 0.707, 0.991], [0.500, 0.825, 0.423], [0.500, 0.175, 0.577], [0.500, 0.825, 0.077], [0.500, 0.175, 0.923], [0.000, 0.580, 0.346], [0.000, 0.420, 0.654], [0.000, 0.580, 0.154], [0.000, 0.420, 0.846], [0.500, 0.958, 0.316], [0.500, 0.042, 0.684], [0.500, 0.958, 0.184], [0.500, 0.042, 0.816], [0.000, 0.000, 0.500], [0.000, 0.000, 0.000]]}

No. 2
{"formula": "Co23B6", "functional": "GGA-PBEsol", "state": "optimized geometry", "dos_ef_per_ev_cell": 30.87, "magnetic_moment_mub_per_atom": 0.943, "rho_kg_m3": 8741, "delta_e_f_mev_per_atom": -182, "cell": [[-4.183, 5.842, 0.993], [-7.157, -0.435, -1.095], [-4.555, 0.283, 5.638]], "species": ["Co", "Co", "Co", "Co", "Co", "Co", "Co", "Co", "Co", "Co", "Co", "Co", "Co", "Co", "Co", "Co", "Co", "Co", "Co", "Co", "Co", "Co", "Co", "B", "B", "B", "B", "B", "B"], "frac_coords": [[0.000, 0.000, 0.000], [0.750, 0.750, 0.750], [0.250, 0.250, 0.250], [0.620, 0.139, 0.620], [0.620, 0.620, 0.139], [0.620, 0.620, 0.620], [0.139, 0.620, 0.620], [0.380, 0.861, 0.380], [0.380, 0.380, 0.861], [0.380, 0.380, 0.380], [0.861, 0.380, 0.380], [0.663, 0.337, 0.000], [0.000, 0.337, 0.000], [0.000, 0.337, 0.663], [0.000, 0.000, 0.337], [0.663, 0.000, 0.337], [0.000, 0.663, 0.337], [0.000, 0.000, 0.663], [0.000, 0.663, 0.000], [0.663, 0.000, 0.000], [0.337, 0.663, 0.000], [0.337, 0.000, 0.663], [0.337, 0.000, 0.000], [0.277, 0.277, 0.723], [0.723, 0.277, 0.723], [0.723, 0.277, 0.277], [0.723, 0.723, 0.277], [0.277, 0.723, 0.277], [0.277, 0.723, 0.723]]}

No. 3
{"formula": "Co2B", "functional": "GGA-PBEsol", "state": "optimized geometry", "dos_ef_per_ev_cell": 6.41, "magnetic_moment_mub_per_atom": 0.593, "rho_kg_m3": 8530, "delta_e_f_mev_per_atom": -317, "cell": [[4.044, -0.020, 0.000], [-1.869, 3.587, 0.000], [-1.088, -1.783, 3.463]], "species": ["B", "B", "Co", "Co", "Co", "Co"], "frac_coords": [[0.250, 0.250, 0.000], [0.750, 0.750, 0.000], [0.333, 0.167, 0.500], [0.667, 0.833, 0.500], [0.167, 0.667, 0.833], [0.833, 0.333, 0.167]]}

No. 4
{"formula": "CrCoB", "functional": "GGA-PBEsol", "state": "optimized geometry", "dos_ef_per_ev_cell": 4.93, "magnetic_moment_mub_per_atom": 0.279, "rho_kg_m3": 7752, "delta_e_f_mev_per_atom": -339, "cell": [[4.030, -0.007, 0.000], [-1.927, 3.539, 0.000], [-1.051, -1.766, 3.661]], "species": ["Cr", "Cr", "B", "B", "Co", "Co"], "frac_coords": [[0.338, 0.662, 0.000], [0.662, 0.338, 0.000], [0.750, 0.250, 0.500], [0.250, 0.750, 0.500], [0.166, 0.166, 0.332], [0.834, 0.834, 0.668]]}